Entry 1:
Here is Ba2CoH2 after structural relaxation from Alexandria. Energies are from GGA-PBE.

Total DFT energy (no corrections), eV per atom: -3.4183
DOS at the Fermi energy, states/eV/f.u.: 6.6

Structure (POSCAR):
```
Ba2CoH2
1.0
-2.0860 2.0860 7.1402
2.0860 -2.0860 7.1402
2.0860 2.0860 -7.1402
Ba Co H
2 1 2
Direct
0.1393 0.1393 0.0000
0.8607 0.8607 0.0000
0.5000 0.5000 0.0000
0.2500 0.7500 0.5000
0.7500 0.2500 0.5000
```

Entry 2:
Here is BaCo2H7 after structural relaxation from Alexandria. Energies are from GGA-PBE.

Total DFT energy (no corrections), eV per atom: -4.1086
DOS at the Fermi energy, states/eV/f.u.: 1.9

Structure (POSCAR):
```
BaCo2H7
1.0
2.4888 -4.6248 0.0000
2.4888 4.6248 0.0000
0.0000 0.0000 3.5838
Ba Co H
1 2 7
Direct
0.0000 0.0000 0.0000
0.3152 0.6848 0.5000
0.6848 0.3152 0.5000
0.0147 0.3482 0.5000
0.3230 0.6770 0.0000
0.3482 0.0147 0.5000
0.5000 0.5000 0.5000
0.6518 0.9853 0.5000
0.6770 0.3230 0.0000
0.9853 0.6518 0.5000
```

Entry 3:
Here is Ba3Co5H12 after structural relaxation from Alexandria. Energies are from GGA-PBE.

Total DFT energy (no corrections), eV per atom: -4.0372
DOS at the Fermi energy, states/eV/f.u.: 5.6

Structure (POSCAR):
```
Ba3Co5H12
1.0
-6.0057 6.0057 6.0057
6.0057 -6.0057 6.0057
6.0057 6.0057 -6.0057
Ba Co H
12 20 48
Direct
0.1250 0.2500 0.3750
0.1250 0.3750 0.7500
0.2500 0.3750 0.1250
0.2500 0.8750 0.6250
0.3750 0.1250 0.2500
0.3750 0.7500 0.1250
0.6250 0.2500 0.8750
0.6250 0.8750 0.7500
0.7500 0.1250 0.3750
0.7500 0.6250 0.8750
0.8750 0.6250 0.2500
0.8750 0.7500 0.6250
0.0000 0.0000 0.0000
0.0000 0.0000 0.5000
0.0000 0.5000 0.0000
0.0000 0.5000 0.5000
0.1250 0.7500 0.8750
0.1250 0.8750 0.2500
0.2500 0.1250 0.8750
0.2500 0.6250 0.3750
0.3750 0.2500 0.6250
0.3750 0.6250 0.7500
0.5000 0.0000 0.0000
0.5000 0.0000 0.5000
0.5000 0.5000 0.0000
0.5000 0.5000 0.5000
0.6250 0.3750 0.2500
0.6250 0.7500 0.3750
0.7500 0.3750 0.6250
0.7500 0.8750 0.1250
0.8750 0.1250 0.7500
0.8750 0.2500 0.1250
0.0181 0.6812 0.0978
0.0181 0.8370 0.9204
0.0796 0.5978 0.9166
0.0796 0.9819 0.1630
0.0834 0.6630 0.6812
0.0834 0.9204 0.4022
0.0978 0.0181 0.6812
0.0978 0.5796 0.4166
0.1630 0.0796 0.9819
0.1630 0.5834 0.1812
0.1812 0.1630 0.5834
0.1812 0.5181 0.5978
0.3188 0.9022 0.9819
0.3188 0.9166 0.3370
0.3370 0.3188 0.9166
0.3370 0.5181 0.4204
0.4022 0.0834 0.9204
0.4022 0.8188 0.4819
0.4166 0.0978 0.5796
0.4166 0.8188 0.8370
0.4204 0.3370 0.5181
0.4204 0.5834 0.9022
0.4819 0.4022 0.8188
0.4819 0.5796 0.6630
0.5181 0.4204 0.3370
0.5181 0.5978 0.1812
0.5796 0.4166 0.0978
0.5796 0.6630 0.4819
0.5834 0.1812 0.1630
0.5834 0.9022 0.4204
0.5978 0.1812 0.5181
0.5978 0.9166 0.0796
0.6630 0.4819 0.5796
0.6630 0.6812 0.0834
0.6812 0.0834 0.6630
0.6812 0.0978 0.0181
0.8188 0.4819 0.4022
0.8188 0.8370 0.4166
0.8370 0.4166 0.8188
0.8370 0.9204 0.0181
0.9022 0.4204 0.5834
0.9022 0.9819 0.3188
0.9166 0.0796 0.5978
0.9166 0.3370 0.3188
0.9204 0.0181 0.8370
0.9204 0.4022 0.0834
0.9819 0.1630 0.0796
0.9819 0.3188 0.9022
```

Entry 4:
Here is Ba2CoH after structural relaxation from Alexandria. Energies are from GGA-PBE.

Total DFT energy (no corrections), eV per atom: -3.2299
ΔE to the lowest computed polymorph, eV/f.u.: 0.00
DOS at the Fermi energy, states/eV/f.u.: 0.0

Structure (POSCAR):
```
Ba2CoH
1.0
-3.0540 3.0540 6.8738
3.0540 -3.0540 6.8738
3.0540 3.0540 -6.8738
Ba Co H
4 2 2
Direct
0.1034 0.6250 0.9784
0.3750 0.3534 0.4784
0.6466 0.1250 0.0216
0.8750 0.8966 0.5216
0.2500 0.7500 0.5000
0.5000 0.5000 0.0000
0.0000 0.0000 0.0000
0.7500 0.2500 0.5000
```